Density functional theory data (PBE) for KMoN2 after structural relaxation.

energy above the most stable polymorph in this dataset = 0.000 eV/atom
total energy = -483.21 eV for the cell shown
ΔE_f (raw) = -1.62 eV/f.u.
magnetic moment = 0.00 μB/cell
theoretical density = 3.686 g/cm³

Structure (POSCAR):
```
KMoN2
1.0
5.8409 0.0000 0.0000
0.0000 11.8299 0.0000
0.0000 0.0000 17.0101
K Mo N
16 16 32
Direct
0.2428 0.2475 0.1863 K
0.2428 0.2525 0.6863 K
0.2447 0.0010 0.5620 K
0.2447 0.4990 0.0620 K
0.2553 0.5010 0.5620 K
0.2553 0.9990 0.0620 K
0.2572 0.7475 0.1863 K
0.2572 0.7525 0.6863 K
0.7428 0.2475 0.3137 K
0.7428 0.2525 0.8137 K
0.7447 0.0010 0.9380 K
0.7447 0.4990 0.4380 K
0.7553 0.5010 0.9380 K
0.7553 0.9990 0.4380 K
0.7572 0.7475 0.3137 K
0.7572 0.7525 0.8137 K
0.2256 0.0025 0.8090 Mo
0.2256 0.4975 0.3090 Mo
0.2485 0.2467 0.4361 Mo
0.2485 0.2533 0.9361 Mo
0.2515 0.7467 0.4361 Mo
0.2515 0.7533 0.9361 Mo
0.2744 0.5025 0.8090 Mo
0.2744 0.9975 0.3090 Mo
0.7256 0.0025 0.6910 Mo
0.7256 0.4975 0.1910 Mo
0.7485 0.2467 0.0639 Mo
0.7485 0.2533 0.5639 Mo
0.7515 0.7467 0.0639 Mo
0.7515 0.7533 0.5639 Mo
0.7744 0.5025 0.6910 Mo
0.7744 0.9975 0.1910 Mo
0.0074 0.7023 0.0011 N
0.0074 0.7977 0.5011 N
0.0416 0.5029 0.2155 N
0.0416 0.9971 0.7155 N
0.1507 0.6220 0.3747 N
0.1507 0.8780 0.8747 N
0.1580 0.1373 0.8654 N
0.1580 0.3627 0.3654 N
0.3420 0.6373 0.8654 N
0.3420 0.8627 0.3654 N
0.3493 0.1220 0.3747 N
0.3493 0.3780 0.8747 N
0.4584 0.0029 0.2155 N
0.4584 0.4971 0.7155 N
0.4926 0.2023 0.0011 N
0.4926 0.2977 0.5011 N
0.5074 0.7023 0.4989 N
0.5074 0.7977 0.9989 N
0.5416 0.5029 0.2845 N
0.5416 0.9971 0.7845 N
0.6507 0.6220 0.1253 N
0.6507 0.8780 0.6253 N
0.6580 0.1373 0.6346 N
0.6580 0.3627 0.1346 N
0.8420 0.6373 0.6346 N
0.8420 0.8627 0.1346 N
0.8493 0.1220 0.1253 N
0.8493 0.3780 0.6253 N
0.9584 0.0029 0.2845 N
0.9584 0.4971 0.7845 N
0.9926 0.2023 0.4989 N
0.9926 0.2977 0.9989 N
```